[1]
A plane-wave DFT calculation with GGA-PBE was carried out for a relaxed structure of CaSF6.

Cell and atoms, written as POSCAR:
```
CaSF6
1.0
2.747 -4.115 0.000
2.747 4.115 0.000
-1.035 0.000 4.933
Ca S F
1 1 6
direct
0.000 0.000 0.000
0.500 0.500 0.500
0.172 0.481 0.257
0.240 0.240 0.682
0.481 0.172 0.257
0.519 0.828 0.743
0.760 0.760 0.318
0.828 0.519 0.743
```

**E_form (uncorrected)**: -18.2 eV/f.u.


[2]
A plane-wave DFT calculation with GGA-PBE was carried out for a relaxed structure of CaSF2.

Cell and atoms, written as POSCAR:
```
CaSF2
1.0
1.778 1.027 8.368
-1.778 1.027 8.368
0.000 -2.053 8.368
Ca S F
1 1 2
direct
0.000 0.000 0.000
0.500 0.500 0.500
0.372 0.372 0.372
0.628 0.628 0.628
```

**Excess energy over the best structure of this formula in the dataset**: 0 kJ/mol of formula units
**E_form (uncorrected)**: -8.9 eV/f.u.